[1]
Below is an optimized crystal structure of Ho3ErIr4, with properties calculated at the PBE level.

Cell lengths 3.3014, 4.8955, 9.7896 Å; angles 90.00, 90.00, 90.00 degrees
With the nearest neighbours (Å) after each atom.
Space group Pmmm (No. 47)
Unique sites:
Ho: 0.0000 0.0000 0.0000 [1 per cell]  8 Ir 2.95-2.96, 2 Ho 3.30
Ho: 0.0000 0.5000 0.2504 [2 per cell]  8 Ir 2.95, 2 Ho 3.30
Er: 0.0000 0.0000 0.5000 [1 per cell]  8 Ir 2.94-2.95
Ir: 0.5000 0.0000 0.2510 [2 per cell]  2 Er 2.94, 6 Ho 2.95-2.96
Ir: 0.5000 0.5000 0.0000 [1 per cell]  8 Ho 2.95, 2 Ir 3.30
Ir: 0.5000 0.5000 0.5000 [1 per cell]  4 Ho 2.95, 4 Er 2.95, 2 Ir 3.30

Computed properties:
Calculated formation energy (meV per atom): -854

***

[2]
Below is an optimized crystal structure of YZrFeIr, with properties calculated at the PBE level.

Cell lengths 6.6534, 6.6534, 6.6534 Å; angles 90.00, 90.00, 90.00 degrees
With the nearest neighbours (Å) after each atom.
Space group F-43m (No. 216)
Unique sites:
Y: 0.0000 0.0000 0.0000 [4 per cell]  4 Fe 2.88, 4 Ir 2.88
Zr: 0.0000 0.0000 0.5000 [4 per cell]  4 Fe 2.88, 4 Ir 2.88
Fe: 0.2500 0.2500 0.7500 [4 per cell]  4 Zr 2.88, 4 Y 2.88
Ir: 0.2500 0.2500 0.2500 [4 per cell]  4 Zr 2.88, 4 Y 2.88

Computed properties:
Calculated formation energy (meV per atom): -387

***

[3]
Below is an optimized crystal structure of YPuRu2, with properties calculated at the PBE level.

Cell lengths 3.3773, 3.3773, 6.8791 Å; angles 90.00, 90.00, 90.00 degrees
With the nearest neighbours (Å) after each atom.
Space group P4/mmm (No. 123)
Unique sites:
Y: 0.0000 0.0000 0.0000 [1 per cell]  8 Ru 3.03, 4 Y 3.38
Pu: 0.0000 0.0000 0.5000 [1 per cell]  8 Ru 2.86
Ru: 0.5000 0.5000 0.2709 [2 per cell]  4 Pu 2.86, 4 Y 3.03, 1 Ru 3.15

Computed properties:
Calculated formation energy (meV per atom): -256

***

[4]
Below is an optimized crystal structure of Nd2YPaS4, with properties calculated at the PBE level.

Cell lengths 6.9095, 3.9601, 6.9165 Å; angles 90.00, 109.06, 90.00 degrees
With the nearest neighbours (Å) after each atom.
Space group P2/m (No. 10)
Unique sites:
Nd: 0.0000 0.0000 0.0000 [1 per cell]  6 S 2.86-2.87
Nd: 0.5000 0.5000 0.0000 [1 per cell]  6 S 2.87
Y: 0.0000 0.5000 0.5000 [1 per cell]  6 S 2.77
Pa: 0.5000 0.0000 0.5000 [1 per cell]  6 S 2.76-2.77
S: 0.2460 0.0000 0.7360 [2 per cell]  1 Pa 2.76, 2 Y 2.77, 3 Nd 2.87
S: 0.2535 0.5000 0.2624 [2 per cell]  1 Y 2.77, 2 Pa 2.77, 3 Nd 2.86-2.87

Computed properties:
Formation energy from raw total energies (eV/atom): -1.89